1.
A relaxed La3Sm3AgTe8 crystal. Source: Alexandria via LeMat-Bulk, functional GGA-PBE.

Geometry as POSCAR:
```
La3Sm3AgTe8
1.0
8.9821 0.0000 0.0000
-4.4910 7.7789 -0.0266
0.0000 -5.1601 7.3482
Te La Sm Ag
8 3 3 1
direct
0.2495 0.4990 0.7439
0.2552 0.0057 0.2561
0.7470 0.4939 0.7408
0.7505 0.0057 0.2561
0.2530 0.5061 0.2592
0.7448 0.9943 0.7439
0.2495 0.9943 0.7439
0.7505 0.5010 0.2561
0.0000 0.0000 0.0000
0.0000 0.5000 0.0000
0.5000 0.5000 0.0000
0.5000 0.5000 0.5000
0.0000 0.5000 0.5000
0.5000 0.0000 0.5000
0.0000 0.0000 0.5000
```

Computed properties:
The value obtained for the total moment is 0.00 μB per formula unit. As for the symmetry: R-3m. As for the density of states at the Fermi level: 0.333 states/eV/atom. The formation energy (no corrections) comes out at -1.332 eV/atom.

2.
A relaxed SrCaMg2Cr crystal. Source: Alexandria via LeMat-Bulk, functional GGA-PBE.

Geometry as POSCAR:
```
SrCaMg2Cr
1.0
-3.7545 -2.2562 3.2036
3.4784 -4.4457 0.9455
2.1157 2.5672 4.2875
Mg Ca Sr Cr
2 1 1 1
direct
0.5000 0.0000 0.0000
0.0000 0.0000 0.5000
0.5000 0.5000 0.5000
0.0000 0.5000 0.0000
0.0000 0.0000 0.0000
```

Computed properties:
The value obtained for the total moment is 3.80 μB per formula unit. As for the symmetry: P4/mmm. As for the density of states at the Fermi level: 0.723 states/eV/atom. As for the formation enthalpy at 0 K: 516 meV per atom.

Which formula does entry 2 have? SrCaMg2Cr

What is the total moment in the first record? 0.00 μB per formula unit

What is the formula in the second record? SrCaMg2Cr

Which formula does entry 1 have? La3Sm3AgTe8